A geometry-optimized CrFeTc2 structure. Source: Alexandria via LeMat-Bulk, functional GGA-PBE.

The structure belongs to space group I4/mmm (No. 139); the cell edges are 3.7973, 3.7973 and 7.2344 Å and the angles 90.00°, 90.00° and 90.00°. Symmetry generates all atoms from Cr at (0.0000, 0.0000, 0.0000), Fe at (0.0000, 0.0000, 0.5000) and Tc at (0.0000, 0.5000, 0.2500).

As for the formation energy: 0.133 eV per atom. The calculation puts the density of states at the Fermi level at 8.8 states/eV per cell. Its uncorrected energy is -9.5711 eV/atom. The magnetic moment is 1.5 μB/f.u.


A geometry-optimized CrFeTc2 structure. Source: Alexandria via LeMat-Bulk, functional GGA-PBE.

The structure belongs to space group Immm (No. 71); the cell edges are 3.0611, 4.2142 and 8.2734 Å and the angles 90.00°, 90.00° and 90.00°. Symmetry generates all atoms from Cr at (0.0000, 0.0000, 0.0000), Fe at (0.0000, 0.0000, 0.5000) and Tc at (0.0000, 0.5000, 0.2566).

As for the formation energy: 0.174 eV per atom. The calculation puts the density of states at the Fermi level at 10.1 states/eV per cell. Its uncorrected energy is -9.5301 eV/atom. The magnetic moment is 3.0 μB/f.u.


A geometry-optimized CrFeTc2 structure. Source: Alexandria via LeMat-Bulk, functional GGA-PBE.

The structure belongs to space group Pmm2 (No. 25); the cell edges are 2.6633, 3.7151 and 5.2772 Å and the angles 90.00°, 90.00° and 90.00°. Symmetry generates all atoms from Cr at (0.0000, 0.0000, 0.0000), Fe at (0.5000, 0.5000, 0.2283), Tc at (0.0000, 0.0000, 0.4731) and Tc at (0.5000, 0.5000, 0.7461).

As for the formation energy: 0.157 eV per atom. The calculation puts the density of states at the Fermi level at 4.5 states/eV per cell. Its uncorrected energy is -9.5474 eV/atom. The magnetic moment is 0.8 μB/f.u.


A geometry-optimized Cr4Fe2Tc3 structure. Source: Alexandria via LeMat-Bulk, functional GGA-PBE.

The structure belongs to space group C2/m (No. 12); the cell edges are 8.8053, 4.1552 and 6.4253 Å and the angles 90.00°, 104.04° and 90.00°. Symmetry generates all atoms from Cr at (0.1096, 0.0000, 0.1624), Cr at (0.1786, 0.5000, 0.5112), Fe at (0.2296, 0.0000, 0.8381), Tc at (0.0000, 0.0000, 0.5000) and Tc at (0.0498, 0.5000, 0.8192).

As for the formation energy: 0.092 eV per atom. The calculation puts the density of states at the Fermi level at 18.4 states/eV per cell. Its uncorrected energy is -9.5215 eV/atom. The magnetic moment is 5.4 μB/f.u.


A geometry-optimized CrFeTc2 structure. Source: Alexandria via LeMat-Bulk, functional GGA-PBE.

The structure belongs to space group Imm2 (No. 44); the cell edges are 2.9976, 4.1469 and 8.4786 Å and the angles 90.00°, 90.00° and 90.00°. Symmetry generates all atoms from Cr at (0.0000, 0.0000, 0.0000), Fe at (0.0000, 0.5000, 0.7340), Tc at (0.0000, 0.0000, 0.4919) and Tc at (0.0000, 0.5000, 0.2542).

As for the formation energy: 0.110 eV per atom. The calculation puts the density of states at the Fermi level at 9.1 states/eV per cell. Its uncorrected energy is -9.5949 eV/atom. The magnetic moment is 2.8 μB/f.u.


A geometry-optimized CrFeTc2 structure. Source: Alexandria via LeMat-Bulk, functional GGA-PBE.

The structure belongs to space group Pmmm (No. 47); the cell edges are 3.0744, 4.1118 and 4.2078 Å and the angles 90.00°, 90.00° and 90.00°. Symmetry generates all atoms from Cr at (0.0000, 0.0000, 0.0000), Fe at (0.5000, 0.0000, 0.5000), Tc at (0.0000, 0.5000, 0.5000) and Tc at (0.5000, 0.5000, 0.0000).

As for the formation energy: 0.155 eV per atom. The calculation puts the density of states at the Fermi level at 3.4 states/eV per cell. Its uncorrected energy is -9.5494 eV/atom. The magnetic moment is 3.3 μB/f.u.


A geometry-optimized CrFeTc structure. Source: Alexandria via LeMat-Bulk, functional GGA-PBE.

The structure belongs to space group Imma (No. 74); the cell edges are 4.6256, 4.7688 and 6.5984 Å and the angles 90.00°, 90.00° and 90.00°. Symmetry generates all atoms from Cr at (0.2500, 0.2500, 0.2500), Fe at (0.0000, 0.0000, 0.0000) and Tc at (0.0000, 0.2500, 0.6296).

As for the formation energy: -0.003 eV per atom. The calculation puts the density of states at the Fermi level at 9.6 states/eV per cell. Its uncorrected energy is -9.4874 eV/atom. The magnetic moment is 0.3 μB/f.u.


A geometry-optimized CrFeTc structure. Source: Alexandria via LeMat-Bulk, functional GGA-PBE.

The structure belongs to space group Imm2 (No. 44); the cell edges are 2.5882, 3.6374 and 7.8456 Å and the angles 90.00°, 90.00° and 90.00°. Symmetry generates all atoms from Cr at (0.0000, 0.0000, 0.0000), Fe at (0.0000, 0.0000, 0.6550) and Tc at (0.0000, 0.0000, 0.3242).

As for the formation energy: 0.185 eV per atom. The calculation puts the density of states at the Fermi level at 8.3 states/eV per cell. Its uncorrected energy is -9.2985 eV/atom. The magnetic moment is 0.0 μB/f.u.


A geometry-optimized CrFeTc structure. Source: Alexandria via LeMat-Bulk, functional GGA-PBE.

The structure belongs to space group Pm (No. 6); the cell edges are 4.3545, 2.7034 and 6.3342 Å and the angles 90.00°, 98.82° and 90.00°. Symmetry generates all atoms from Cr at (0.0000, 0.0000, 0.0000), Cr at (0.4415, 0.0000, 0.6300), Fe at (0.2342, 0.5000, 0.3253), Fe at (0.9659, 0.5000, 0.6758), Tc at (0.4951, 0.5000, 0.9700) and Tc at (0.7483, 0.0000, 0.3355).

As for the formation energy: 0.134 eV per atom. The calculation puts the density of states at the Fermi level at 6.2 states/eV per cell. Its uncorrected energy is -9.3501 eV/atom. The magnetic moment is 0.0 μB/f.u.


A geometry-optimized CrFeTc structure. Source: Alexandria via LeMat-Bulk, functional GGA-PBE.

The structure belongs to space group Cm (No. 8); the cell edges are 9.2657, 2.9711 and 5.7941 Å and the angles 90.00°, 107.87° and 90.00°. Symmetry generates all atoms from Cr at (0.0000, 0.0000, 0.0000), Cr at (0.1570, 0.5000, 0.8461), Fe at (0.1668, 0.5000, 0.3156), Fe at (0.3298, 0.0000, 0.1622), Tc at (0.0008, 0.0000, 0.4997) and Tc at (0.3239, 0.0000, 0.6757).

As for the formation energy: 0.090 eV per atom. The calculation puts the density of states at the Fermi level at 12.0 states/eV per cell. Its uncorrected energy is -9.3939 eV/atom. The magnetic moment is 2.5 μB/f.u.


A geometry-optimized CrFeTc2 structure. Source: Alexandria via LeMat-Bulk, functional GGA-PBE.

The structure belongs to space group P4/mmm (No. 123); the cell edges are 3.0073, 3.0073 and 5.8352 Å and the angles 90.00°, 90.00° and 90.00°. Symmetry generates all atoms from Cr at (0.0000, 0.0000, 0.0000), Fe at (0.0000, 0.0000, 0.5000) and Tc at (0.5000, 0.5000, 0.2469).

As for the formation energy: 0.108 eV per atom. The calculation puts the density of states at the Fermi level at 4.1 states/eV per cell. Its uncorrected energy is -9.5965 eV/atom. The magnetic moment is 2.7 μB/f.u.


A geometry-optimized CrFeTc structure. Source: Alexandria via LeMat-Bulk, functional GGA-PBE.

The structure belongs to space group I4mm (No. 107); the cell edges are 2.5695, 2.5695 and 11.1869 Å and the angles 90.00°, 90.00° and 90.00°. Symmetry generates all atoms from Cr at (0.0000, 0.0000, 0.0000), Fe at (0.0000, 0.0000, 0.6468) and Tc at (0.0000, 0.0000, 0.3140).

As for the formation energy: 0.138 eV per atom. The calculation puts the density of states at the Fermi level at 5.2 states/eV per cell. Its uncorrected energy is -9.3459 eV/atom. The magnetic moment is 0.2 μB/f.u.


Question: Which value of uncorrected energy does entry 10 give?
Answer: -9.3939 eV/atom


Please write out number 3 again, unchanged.
A geometry-optimized CrFeTc2 structure. Source: Alexandria via LeMat-Bulk, functional GGA-PBE.

The structure belongs to space group Pmm2 (No. 25); the cell edges are 2.6633, 3.7151 and 5.2772 Å and the angles 90.00°, 90.00° and 90.00°. Symmetry generates all atoms from Cr at (0.0000, 0.0000, 0.0000), Fe at (0.5000, 0.5000, 0.2283), Tc at (0.0000, 0.0000, 0.4731) and Tc at (0.5000, 0.5000, 0.7461).

As for the formation energy: 0.157 eV per atom. The calculation puts the density of states at the Fermi level at 4.5 states/eV per cell. Its uncorrected energy is -9.5474 eV/atom. The magnetic moment is 0.8 μB/f.u.


Question: Which of these has the lowest uncorrected energy?
Answer: number 11


Question: Look up the magnetic moment of the ninth one.
Answer: 0.0 μB/f.u.